## SmNpPa2P4 (PBE)

Data for a relaxed structure of SmNpPa2P4.

```
SmNpPa2P4
1.0
5.6477 0.0029 0.0000
-0.0028 5.6477 0.0000
-2.8225 -2.8253 5.6595
Sm Np Pa P
1 1 2 4
direct
0.5000 0.5000 0.0000 Sm
0.7500 0.2500 0.5000 Np
0.2500 0.7500 0.5000 Pa
0.0000 0.0000 0.0000 Pa
0.0010 0.5010 0.0020 P
0.4990 0.9990 0.9980 P
0.7538 0.7538 0.5076 P
0.2462 0.2462 0.4924 P
```

Calculated volume = 22.565 A^3/atom
E_form = -1.263 eV/atom